No. 1
DyMnCrSi2 | PBE | optimized geometry

Results
DOS(E_F)   4.96 states/eV/f.u.
E_tot   -7.358 eV/atom
Formation energy from raw total energies   -0.510 eV per atom
Spin magnetization   3.48 μB per formula unit

Unit cell a=3.9331 b=3.9331 c=5.8839 alpha=109.53 beta=109.53 gamma=90.00
Last column: nearest neighbours and their distance in Å.
Positions (direct):
Si 0.3803 0.3803 0.7607  2 Mn 2.39, 2 Cr 2.39, 1 Si 2.48
Si 0.6197 0.6197 0.2393  2 Cr 2.39, 2 Mn 2.39, 1 Si 2.48
Cr 0.7500 0.2500 0.5000  4 Si 2.39
Dy 0.0000 0.0000 0.0000  8 Si 3.05, 4 Cr 3.25, 4 Mn 3.25
Mn 0.2500 0.7500 0.5000  4 Si 2.39

=====

No. 2
Ca2Si2Ge | PBE | optimized geometry

Results
DOS(E_F)   1.86 states/eV/f.u.
E_tot   -4.283 eV/atom
Formation energy from raw total energies   -0.390 eV per atom
E above lowest polymorph   21 meV per atom
Spin magnetization   0.00 μB per formula unit

Unit cell a=7.0581 b=7.0581 c=4.4470 alpha=90.00 beta=90.00 gamma=90.00
Last column: nearest neighbours and their distance in Å.
Positions (direct):
Si 0.8817 0.6183 0.0000  1 Si 2.36
Si 0.6183 0.1183 0.0000  1 Si 2.36
Si 0.3817 0.8817 0.0000  1 Si 2.36
Si 0.1183 0.3817 0.0000  1 Si 2.36
Ca 0.6784 0.8216 0.5000  6 Si 3.01-3.08
Ca 0.8216 0.3216 0.5000  6 Si 3.01-3.08
Ca 0.3216 0.1784 0.5000  6 Si 3.01-3.08
Ca 0.1784 0.6784 0.5000  6 Si 3.01-3.08
Ge 0.5000 0.5000 0.0000  4 Si 2.82
Ge 0.0000 0.0000 0.0000  4 Si 2.82

=====

No. 3
LiNi2Hg | PBE | optimized geometry

Results
DOS(E_F)   3.08 states/eV/f.u.
E_tot   -3.323 eV/atom
ΔE_f   0.122 eV/atom
Spin magnetization   0.00 μB per formula unit

Unit cell a=4.4702 b=4.4702 c=2.9161 alpha=90.00 beta=90.00 gamma=106.08
Last column: nearest neighbours and their distance in Å.
Positions (direct):
Hg 0.5000 0.0000 0.5000  8 Ni 2.67, 2 Li 2.69, 2 Hg 2.92
Ni 0.5000 0.5000 0.0000  4 Li 2.67, 4 Hg 2.67, 4 Ni 2.69-2.92
Ni 0.0000 0.0000 0.0000  4 Hg 2.67, 4 Li 2.67, 4 Ni 2.69-2.92
Li 0.0000 0.5000 0.5000  8 Ni 2.67, 2 Hg 2.69, 2 Li 2.92